one:
Compound: K2PdPt2
Source: the Alexandria database
Functional: PBE
Structure: optimized geometry Values from VASP.

Geometry as Quantum ESPRESSO input:
```
&SYSTEM
  ibrav = 0, nat = 10, ntyp = 3
/
ATOMIC_SPECIES
K 39.10 K.upf
Pd 106.42 Pd.upf
Pt 195.08 Pt.upf
CELL_PARAMETERS angstrom
-2.9588 3.5572 7.1196
2.9588 -3.5572 7.1196
2.9588 3.5572 -7.1196
ATOMIC_POSITIONS angstrom
K 2.9588 -1.9250 4.8453
K 0.0000 1.6322 2.2743
K 2.9588 1.9250 4.8453
K 0.0000 5.4822 2.2743
Pd 2.9588 1.3977 0.0000
Pd 0.0000 2.1595 7.1196
Pt 0.0000 0.0000 5.2038
Pt 1.2389 3.5572 0.0000
Pt 1.7199 0.0000 7.1196
Pt 0.0000 0.0000 9.0355
```

Calculated values
Magnetic moment = 1.41 μB per cell
Space group = No. 71
N(E_F) = 1.51 states/eV/atom

=====

two:
Compound: K2PdPt2
Source: the Alexandria database
Functional: PBE
Structure: optimized geometry Values from VASP.

Geometry as Quantum ESPRESSO input:
```
&SYSTEM
  ibrav = 0, nat = 10, ntyp = 3
/
ATOMIC_SPECIES
K 39.10 K.upf
Pd 106.42 Pd.upf
Pt 195.08 Pt.upf
CELL_PARAMETERS angstrom
6.7185 0.0000 0.0000
0.0000 6.7185 0.0000
0.0000 0.0000 5.3123
ATOMIC_POSITIONS angstrom
K 1.2005 2.1588 0.0000
K 2.1588 5.5180 0.0000
K 4.5597 1.2005 0.0000
K 5.5180 4.5597 0.0000
Pd 0.0000 0.0000 2.6562
Pd 3.3592 3.3592 2.6562
Pt 0.8874 4.2466 2.6562
Pt 2.4719 0.8874 2.6562
Pt 4.2466 5.8311 2.6562
Pt 5.8311 2.4719 2.6562
```

Calculated values
Magnetic moment = 0.00 μB per cell
Space group = No. 127
N(E_F) = 0.07 states/eV/atom

=====

Relative energies, in eV/atom, with the most stable structure set to zero: one 0.209; two 0.000.